Density functional theory data (GGA-PBE) for a relaxed AcLa4Zn5 crystal.

Results
electronic total energy = -3.31 eV per atom
D(E_F) = 12.41 states/eV/f.u.
spin magnetization = 0.00 Bohr magnetons per cell

Cell: 3.802 3.802 18.864 Å, 90.00 90.00 90.00°
Space group P4/mmm (No. 123)
One atom of each set of equivalent atoms:
Ac 0.000 0.000 0.000 x1
La 0.000 0.000 0.205 x2
La 0.000 0.000 0.401 x2
Zn 0.500 0.500 0.109 x2
Zn 0.500 0.500 0.303 x2
Zn 0.500 0.500 0.500 x1

Density functional theory data (GGA-PBE) for a relaxed BaY2Ta crystal.

Results
electronic total energy = -6.30 eV per atom
energy relative to the lowest polymorph listed for this composition = 0.0 meV per atom
D(E_F) = 5.17 states/eV/f.u.
spin magnetization = 0.00 Bohr magnetons per cell

Cell: 3.456 3.456 10.771 Å, 90.00 90.00 90.00°
Space group P4/mmm (No. 123)
One atom of each set of equivalent atoms:
Ba 0.000 0.000 0.000 x1
Y 0.500 0.500 0.314 x2
Ta 0.000 0.000 0.500 x1

Density functional theory data (GGA-PBE) for a relaxed La2Ho7Sc2 crystal.

Results
electronic total energy = -4.77 eV per atom
energy relative to the lowest polymorph listed for this composition = 17.4 meV per atom
D(E_F) = 18.07 states/eV/f.u.
spin magnetization = 0.00 Bohr magnetons per cell

Cell: 3.531 17.285 11.550 Å, 90.00 90.00 90.00°
Space group Imm2 (No. 44)
One atom of each set of equivalent atoms:
La 0.000 0.207 0.000 x4
Ho 0.000 0.000 0.920 x2
Ho 0.000 0.107 0.492 x4
Ho 0.000 0.333 0.246 x4
Ho 0.000 0.338 0.753 x4
Sc 0.000 0.000 0.224 x2
Sc 0.000 0.500 0.173 x2

Density functional theory data (GGA-PBE) for a relaxed Ba2Na2Cd15 crystal.

Results
electronic total energy = -1.26 eV per atom
D(E_F) = 7.96 states/eV/f.u.
spin magnetization = 0.00 Bohr magnetons per cell

Cell: 10.5522 10.5522 15.2179 Å, 90.00 90.00 120.00°
Space group R-3m (No. 166, hexagonal axes)
One atom of each set of equivalent atoms:
Ba 0.0000 0.0000 0.1586 x6
Na 0.0000 0.0000 0.4005 x6
Cd 0.0000 0.2986 0.5000 x18
Cd 0.0000 0.5000 0.0000 x9
Cd 0.0077 0.5038 0.6523 x18

Density functional theory data (GGA-PBE) for a relaxed BMo2IrN crystal.

Results
electronic total energy = -8.56 eV per atom
D(E_F) = 3.61 states/eV/f.u.
spin magnetization = 0.00 Bohr magnetons per cell

Cell: 4.734 4.734 2.777 Å, 90.00 90.00 90.00°
Space group P4/mmm (No. 123)
One atom of each set of equivalent atoms:
B 0.000 0.000 0.000 x1
Mo 0.000 0.500 0.000 x2
Ir 0.500 0.500 0.500 x1
N 0.000 0.000 0.500 x1

Density functional theory data (GGA-PBE) for a relaxed Pm3Si4Au7 crystal.

Results
electronic total energy = -4.81 eV per atom
D(E_F) = 6.06 states/eV/f.u.
spin magnetization = 0.00 Bohr magnetons per cell

Cell: 16.190 4.363 9.592 Å, 90.00 125.75 90.00°
Space group C2/m (No. 12)
One atom of each set of equivalent atoms:
Pm 0.000 0.000 0.000 x2
Pm 0.187 0.500 0.687 x4
Si 0.122 0.000 0.839 x4
Si 0.164 0.500 0.280 x4
Au 0.000 0.000 0.500 x2
Au 0.007 0.500 0.287 x4
Au 0.157 0.000 0.413 x4
Au 0.180 0.500 0.035 x4

Density functional theory data (GGA-PBE) for a relaxed YMg2IrPb crystal.

Results
electronic total energy = -3.58 eV per atom
energy relative to the lowest polymorph listed for this composition = 231.5 meV per atom
D(E_F) = 1.66 states/eV/f.u.
spin magnetization = 0.00 Bohr magnetons per cell

Cell: 5.027 5.027 5.874 Å, 90.00 90.00 90.00°
Space group P4/mmm (No. 123)
One atom of each set of equivalent atoms:
Y 0.000 0.000 0.000 x1
Mg 0.000 0.500 0.500 x2
Ir 0.500 0.500 0.000 x1
Pb 0.000 0.000 0.500 x1

Density functional theory data (GGA-PBE) for a relaxed Ac2Zn2HgPt5 crystal.

Results
electronic total energy = -4.79 eV per atom
D(E_F) = 3.11 states/eV/f.u.
spin magnetization = 0.00 Bohr magnetons per cell

Cell: 10.151 10.151 3.898 Å, 90.00 90.00 90.00°
Space group P4/mbm (No. 127)
One atom of each set of equivalent atoms:
Ac 0.182 0.318 0.000 x4
Zn 0.115 0.615 0.000 x4
Hg 0.000 0.000 0.000 x2
Pt 0.000 0.500 0.500 x2
Pt 0.061 0.787 0.500 x8